1.
Computed, not measured: a relaxed Pd3RhAu crystal at the PBE-GGA level of DFT.

```
data_Pd3RhAu
_chemical_formula_sum 'Pd3 Rh1 Au1'
_space_group_name_H-M_alt 'P 1'
_space_group_IT_number 1
_space_group_name_Hall 'P 1'
_cell_length_a 4.783
_cell_length_b 4.783
_cell_length_c 4.783
_cell_angle_alpha 90.00
_cell_angle_beta 90.00
_cell_angle_gamma 90.00
loop_
_atom_site_label
_atom_site_fract_x
_atom_site_fract_y
_atom_site_fract_z
Pd1 0.000 0.000 0.500
Pd2 0.000 0.500 0.000
Pd3 0.500 0.000 0.000
Rh1 0.000 0.000 0.000
Au1 0.500 0.500 0.500
```

Density of states at the Fermi level   1.55 states/eV per atom
Total energy   -4.108 eV per atom
DFT formation energy   1133 meV per atom
Space-group type   Pm-3m (221)
Relative energy among the computed polymorphs   1082 meV/atom



2.
Computed, not measured: a relaxed PdRh2Au crystal at the PBE-GGA level of DFT.

```
data_PdRh2Au
_chemical_formula_sum 'Pd1 Rh2 Au1'
_space_group_name_H-M_alt 'P 1'
_space_group_IT_number 1
_space_group_name_Hall 'P 1'
_cell_length_a 4.454
_cell_length_b 4.454
_cell_length_c 4.454
_cell_angle_alpha 60.00
_cell_angle_beta 60.00
_cell_angle_gamma 60.00
loop_
_atom_site_label
_atom_site_fract_x
_atom_site_fract_y
_atom_site_fract_z
Pd1 0.000 0.000 0.000
Rh1 0.250 0.250 0.250
Rh2 0.750 0.750 0.750
Au1 0.500 0.500 0.500
```

Density of states at the Fermi level   1.24 states/eV per atom
Total energy   -5.512 eV per atom
DFT formation energy   281 meV per atom
Space-group type   Fm-3m (225)
Relative energy among the computed polymorphs   129 meV/atom